A relaxed structure of NpAl6Pt3, computed with PBE-GGA.

Results
The mass density comes out at 9315 kg/m3. The calculation puts the energy at -60.73 eV/f.u. For the density of states at the Fermi level, the calculation gives 25.94 states/eV/cell. The calculation puts the calculated volume at 17.5 Å³ per atom. The calculation puts the calculated formation energy at -721 meV per atom.

a b c (Å): 8.406 4.278 9.788
angles (deg): 90.00 94.67 90.00
Space group P2_1/m (No. 11)
One atom of each set of equivalent atoms:
Np 0.050 0.250 0.291 x2
Al 0.123 0.750 0.027 x2
Al 0.176 0.250 0.611 x2
Al 0.302 0.750 0.266 x2
Al 0.316 0.750 0.777 x2
Al 0.425 0.250 0.425 x2
Al 0.466 0.250 0.913 x2
Pt 0.163 0.250 0.876 x2
Pt 0.273 0.750 0.514 x2
Pt 0.381 0.250 0.152 x2